Entry 1:
First-principles (GGA-PBE) data for an optimized crystal structure of Ta2SiIr, as listed in Alexandria via LeMat-Bulk.

Its formation energy from raw total energies is -94 meV per atom. As for the crystal system: cubic.

The space group is F-43m (No. 216) and the conventional cell measures 6.328, 6.328 and 6.328 Å, with angles of 90.00, 90.00 and 90.00 degrees. The distinct sites, in fractional coordinates, are Ta at (0.000, 0.000, 0.000), Ta at (0.250, 0.250, 0.250), Si at (0.250, 0.250, 0.750) and Ir at (0.000, 0.000, 0.500).



Entry 2:
First-principles (GGA-PBE) data for an optimized crystal structure of LiUPa2N5, as listed in Alexandria via LeMat-Bulk.

Its formation energy from raw total energies is -1251 meV per atom. As for the crystal system: orthorhombic.

The space group is Cmc2_1 (No. 36) and the conventional cell measures 3.433, 13.091 and 10.395 Å, with angles of 90.00, 90.00 and 90.00 degrees. The distinct sites, in fractional coordinates, are Li at (0.000, 0.003, 0.000), U at (0.000, 0.309, 0.518), Pa at (0.000, 0.372, 0.811), Pa at (0.000, 0.383, 0.201), N at (0.000, 0.011, 0.303), N at (0.000, 0.149, 0.536), N at (0.000, 0.199, 0.866), N at (0.000, 0.209, 0.170) and N at (0.000, 0.458, 0.587).



Entry 3:
First-principles (GGA-PBE) data for an optimized crystal structure of VTcCl, as listed in Alexandria via LeMat-Bulk.

Its formation energy from raw total energies is -389 meV per atom. As for the crystal system: monoclinic. Its energy above the most stable polymorph in this dataset is 30 meV/atom.

The space group is C2 (No. 5) and the conventional cell measures 5.276, 2.933 and 13.086 Å, with angles of 90.00, 93.46 and 90.00 degrees. The distinct sites, in fractional coordinates, are V at (0.139, 0.000, 0.228), Tc at (0.170, 0.199, 0.916) and Cl at (0.182, 0.993, 0.644).